A plane-wave DFT calculation with GGA+U was carried out for a geometry-optimized K2CaMnO4 structure.

a b c (Å): 5.8554 12.1521 22.0386
angles (deg): 90.00 90.00 90.00
Closest atoms and distances in Å follow each position.
Space group Fddd (No. 70, origin choice 2)
Asymmetric unit:
K1 0.1250 0.1250 0.3225 (multiplicity 16)  2 O 2.76
Ca1 0.1250 0.1250 0.1250 (multiplicity 8)  4 O 2.19
Mn1 0.1250 0.1250 0.6250 (multiplicity 8)  4 O 1.83
O1 0.0823 0.2837 0.8388 (multiplicity 32)  1 Mn 1.83

Results
Total magnetic moment in Bohr magnetons per cell: 24.0
Final energy in eV/atom: -5.457